Record 1
Below is a relaxed AcInAg2O4 crystal, with properties calculated at the GGA-PBE level.

DOS at the Fermi energy: 0.3 states/eV/f.u.
energy relative to the elements, uncorrected: -1387 meV/atom

Structure (CIF):
```
data_AcInAg2O4
_cell_length_a 6.174
_cell_length_b 6.501
_cell_length_c 6.767
_cell_angle_alpha 90.00
_cell_angle_beta 90.00
_cell_angle_gamma 90.00
_symmetry_space_group_name_H-M 'I 2 2 2'
_symmetry_Int_Tables_number 23
_symmetry_space_group_name_Hall 'I 2 2'
loop_
_atom_site_label
_atom_site_type_symbol
_atom_site_fract_x
_atom_site_fract_y
_atom_site_fract_z
Ac1 Ac 0.000 0.000 0.000
In1 In 0.000 0.000 0.500
Ag1 Ag 0.000 0.500 0.215
O1 O 0.191 0.161 0.293
```



Record 2
Below is a relaxed Sr6Sb3As crystal, with properties calculated at the GGA-PBE level.

energy relative to the elements, uncorrected: -1017 meV/atom

Structure (CIF):
```
data_Sr6Sb3As
_cell_length_a 8.066
_cell_length_b 8.638
_cell_length_c 13.960
_cell_angle_alpha 90.00
_cell_angle_beta 124.36
_cell_angle_gamma 90.00
_symmetry_space_group_name_H-M 'P 1 21/c 1'
_symmetry_Int_Tables_number 14
_symmetry_space_group_name_Hall '-P 2ybc'
loop_
_atom_site_label
_atom_site_type_symbol
_atom_site_fract_x
_atom_site_fract_y
_atom_site_fract_z
Sr1 Sr 0.099 0.072 0.243
Sr2 Sr 0.258 0.699 0.078
Sr3 Sr 0.373 0.180 0.064
Sb1 Sb 0.282 0.078 0.756
Sb2 Sb 0.500 0.000 0.500
As1 As 0.000 0.000 0.000
```



Record 3
Below is a relaxed Zn2Mo crystal, with properties calculated at the GGA-PBE level.

DOS at the Fermi energy: 1.4 states/eV/f.u.
E_form: 7 kJ/mol of formula units

Structure (CIF):
```
data_Zn2Mo
_cell_length_a 4.9444
_cell_length_b 4.9444
_cell_length_c 7.9912
_cell_angle_alpha 90.00
_cell_angle_beta 90.00
_cell_angle_gamma 120.00
_symmetry_space_group_name_H-M 'P 63/m m c'
_symmetry_Int_Tables_number 194
_symmetry_space_group_name_Hall '-P 6c 2c'
loop_
_atom_site_label
_atom_site_type_symbol
_atom_site_fract_x
_atom_site_fract_y
_atom_site_fract_z
Zn1 Zn 0.0000 0.0000 0.0000
Zn2 Zn 0.1717 0.3434 0.2500
Mo1 Mo 0.3333 0.6667 0.5673
```



Record 4
Below is a relaxed Y2GaMoC crystal, with properties calculated at the GGA-PBE level.

DOS at the Fermi energy: 2.8 states/eV/f.u.
E_form: -143 kJ/mol of formula units

Structure (CIF):
```
data_Y2GaMoC
_cell_length_a 4.899
_cell_length_b 4.899
_cell_length_c 4.115
_cell_angle_alpha 90.00
_cell_angle_beta 90.00
_cell_angle_gamma 90.00
_symmetry_space_group_name_H-M 'P 4/m m m'
_symmetry_Int_Tables_number 123
_symmetry_space_group_name_Hall '-P 4 2'
loop_
_atom_site_label
_atom_site_type_symbol
_atom_site_fract_x
_atom_site_fract_y
_atom_site_fract_z
Y1 Y 0.000 0.500 0.000
Ga1 Ga 0.000 0.000 0.500
Mo1 Mo 0.500 0.500 0.500
C1 C 0.500 0.500 0.000
```



Record 5
Below is a relaxed Ce2MgZn3Au4 crystal, with properties calculated at the GGA-PBE level.

DOS at the Fermi energy: 17.6 states/eV/f.u.
E_form: -455 kJ/mol of formula units

Structure (CIF):
```
data_Ce2MgZn3Au4
_cell_length_a 4.246
_cell_length_b 4.246
_cell_length_c 11.675
_cell_angle_alpha 90.00
_cell_angle_beta 90.00
_cell_angle_gamma 90.00
_symmetry_space_group_name_H-M 'P -4 m 2'
_symmetry_Int_Tables_number 115
_symmetry_space_group_name_Hall 'P -4 -2'
loop_
_atom_site_label
_atom_site_type_symbol
_atom_site_fract_x
_atom_site_fract_y
_atom_site_fract_z
Ce1 Ce 0.000 0.500 0.239
Mg1 Mg 0.000 0.000 0.500
Zn1 Zn 0.000 0.500 0.867
Zn2 Zn 0.500 0.500 0.500
Au1 Au 0.000 0.000 0.000
Au2 Au 0.000 0.500 0.647
Au3 Au 0.500 0.500 0.000
```



Record 6
Below is a relaxed Sr2Li2Br crystal, with properties calculated at the GGA-PBE level.

DOS at the Fermi energy: 4.6 states/eV/f.u.
energy relative to the elements, uncorrected: -323 meV/atom
energy relative to the lowest polymorph listed for this composition: 0.089 eV per atom

Structure (CIF):
```
data_Sr2Li2Br
_cell_length_a 8.627
_cell_length_b 8.627
_cell_length_c 4.715
_cell_angle_alpha 90.00
_cell_angle_beta 90.00
_cell_angle_gamma 90.00
_symmetry_space_group_name_H-M 'P 4/m b m'
_symmetry_Int_Tables_number 127
_symmetry_space_group_name_Hall '-P 4 2ab'
loop_
_atom_site_label
_atom_site_type_symbol
_atom_site_fract_x
_atom_site_fract_y
_atom_site_fract_z
Sr1 Sr 0.171 0.329 0.000
Li1 Li 0.122 0.622 0.500
Br1 Br 0.000 0.000 0.500
```